The following is a PBE calculation of Ac8P3IrBr4 after structural relaxation, from the Alexandria database.

## Properties
Total energy = -86.2 eV/f.u.
V = 525.0 Å³/cell
Symmetry = No. 166
Formation energy (no corrections) = -1.344 eV per atom
Total magnetic moment = 0.000 μB per cell

Unit cell a=9.207 b=9.207 c=9.207 alpha=57.87 beta=57.87 gamma=57.87
Sites, in units of the cell vectors:
1 Ac 0.237 0.237 0.237
2 Ac 0.244 0.732 0.732
3 Ac 0.268 0.268 0.756
4 Ac 0.268 0.756 0.268
5 Ac 0.732 0.244 0.732
6 Ac 0.732 0.732 0.244
7 Ac 0.756 0.268 0.268
8 Ac 0.763 0.763 0.763
9 P 0.000 0.000 0.500
10 P 0.000 0.500 0.000
11 P 0.500 0.000 0.000
12 Ir 0.500 0.500 0.500
13 Br 0.000 0.000 0.000
14 Br 0.000 0.500 0.500
15 Br 0.500 0.000 0.500
16 Br 0.500 0.500 0.000

The following is a PBE calculation of CuTePdI2 after structural relaxation, from the Alexandria database.

## Properties
Total energy = -12.9 eV/f.u.
V = 160.6 Å³/cell
Symmetry = No. 123
Formation energy (no corrections) = 0.528 eV per atom
Total magnetic moment = 0.272 μB per cell

Unit cell a=5.501 b=5.501 c=5.309 alpha=90.00 beta=90.00 gamma=90.00
Sites, in units of the cell vectors:
1 Cu 0.000 0.000 0.000
2 Te 0.500 0.500 0.000
3 Pd 0.500 0.500 0.500
4 I 0.000 0.500 0.500
5 I 0.500 0.000 0.500

The following is a PBE calculation of Rb3Np2FeS6 after structural relaxation, from the Alexandria database.

## Properties
Total energy = -75.0 eV/f.u.
V = 316.6 Å³/cell
Symmetry = No. 12
Formation energy (no corrections) = -1.085 eV per atom
Total magnetic moment = 10.538 μB per cell

Unit cell a=6.917 b=6.917 c=7.980 alpha=98.30 beta=98.30 gamma=119.99
Sites, in units of the cell vectors:
1 Rb 0.000 0.000 0.000
2 Rb 0.334 0.666 0.000
3 Rb 0.666 0.334 0.000
4 Np 0.167 0.833 0.500
5 Np 0.833 0.167 0.500
6 Fe 0.500 0.500 0.500
7 S 0.113 0.438 0.314
8 S 0.237 0.237 0.685
9 S 0.438 0.113 0.314
10 S 0.562 0.887 0.686
11 S 0.763 0.763 0.315
12 S 0.887 0.562 0.686

The following is a PBE calculation of Si2RhBr after structural relaxation, from the Alexandria database.

## Properties
Total energy = -17.1 eV/f.u.
V = 68.0 Å³/cell
Symmetry = No. 225
Formation energy (no corrections) = 0.682 eV per atom
Total magnetic moment = 0.000 μB per cell

Unit cell a=4.581 b=4.581 c=4.581 alpha=60.00 beta=60.00 gamma=60.00
Sites, in units of the cell vectors:
1 Si 0.250 0.250 0.250
2 Si 0.750 0.750 0.750
3 Rh 0.000 0.000 0.000
4 Br 0.500 0.500 0.500

The following is a PBE calculation of LiMn2CoC after structural relaxation, from the Alexandria database.

## Properties
Total energy = -36.2 eV/f.u.
V = 56.8 Å³/cell
Symmetry = No. 123
Total magnetic moment = 5.957 μB per cell

Unit cell a=3.911 b=3.911 c=3.712 alpha=90.00 beta=90.00 gamma=90.00
Sites, in units of the cell vectors:
1 Li 0.000 0.000 0.000
2 Mn 0.000 0.500 0.500
3 Mn 0.500 0.000 0.500
4 Co 0.500 0.500 0.000
5 C 0.500 0.500 0.500

The following is a PBE calculation of ThTcB after structural relaxation, from the Alexandria database.

## Properties
Total energy = -24.9 eV/f.u.
V = 104.6 Å³/cell
Symmetry = No. 8
Total magnetic moment = 0.000 μB per cell

Unit cell a=5.410 b=5.410 c=7.461 alpha=122.51 beta=122.51 gamma=35.46
Sites, in units of the cell vectors:
1 Th 0.000 0.000 0.000
2 Th 0.138 0.138 0.573
3 Tc 0.307 0.307 0.127
4 Tc 0.397 0.397 0.573
5 B 0.671 0.671 0.879
6 B 0.811 0.811 0.343